No. 1
TiMoIr after structural relaxation. Source: Alexandria via LeMat-Bulk, functional PBE-GGA.

POSCAR file:
```
TiMoIr
1.0
-0.683 5.955 1.561
-2.800 0.039 -1.375
-3.736 -5.634 7.447
Mo Ir Ti
4 4 4
direct
0.330 0.000 0.170
0.670 0.500 0.330
0.330 0.500 0.670
0.670 0.000 0.830
0.185 0.000 0.848
0.185 0.500 0.348
0.815 0.000 0.152
0.815 0.500 0.652
0.500 0.000 0.500
0.500 0.500 0.000
0.000 0.500 0.000
0.000 0.000 0.500
```

Computed properties:
SG = C2/m

***

No. 2
DyTiGa3 after structural relaxation. Source: Alexandria via LeMat-Bulk, functional PBE-GGA.

POSCAR file:
```
DyTiGa3
1.0
-0.144 3.364 -4.506
5.331 -5.995 -4.646
-6.456 -3.739 -2.584
Dy Ga Ti
4 12 4
direct
0.500 0.501 0.250
0.000 0.001 0.750
0.500 0.499 0.750
0.000 0.999 0.250
0.750 0.750 0.028
0.250 0.250 0.528
0.500 0.834 0.750
0.500 0.166 0.250
0.750 0.250 0.972
0.000 0.666 0.750
0.750 0.250 0.528
0.000 0.334 0.250
0.250 0.750 0.472
0.750 0.750 0.472
0.250 0.250 0.972
0.250 0.750 0.028
0.000 0.500 0.500
0.000 0.500 0.000
0.500 0.000 0.500
0.500 0.000 0.000
```

Computed properties:
SG = Imma

***

No. 3
Mg2Ru after structural relaxation. Source: Alexandria via LeMat-Bulk, functional PBE-GGA.

POSCAR file:
```
Mg2Ru
1.0
-6.194 4.730 -7.551
-6.044 -1.408 -8.903
3.580 -2.119 10.023
Mg Ru
8 4
direct
0.413 0.413 0.000
0.249 0.249 0.000
0.587 0.587 0.000
0.663 0.163 0.500
0.751 0.751 0.000
0.499 0.999 0.500
0.837 0.337 0.500
0.001 0.501 0.500
0.092 0.092 0.000
0.158 0.658 0.500
0.342 0.842 0.500
0.908 0.908 0.000
```

Computed properties:
SG = I4_1/amd

***

Number 1: calculated total energy -9.581 eV/atom. Number 2: calculated total energy -4.606 eV/atom. Number 3: calculated total energy -4.097 eV/atom.